[1]
First-principles (PBE) data for a relaxed structure of RbMgRe2O8, as listed in Alexandria via LeMat-Bulk.

Lattice parameters (Å, degrees): 5.8173 5.8173 7.7687 90.00 90.00 120.00
Space group P-3 (No. 147)
Inequivalent atoms, fractional coordinates:
1 Rb 0.0000 0.0000 0.0000 x1
2 Mg 0.0000 0.0000 0.5000 x1
3 Re 0.3333 0.6667 0.7322 x2
4 O 0.1633 0.3311 0.6602 x6
5 O 0.3333 0.6667 0.9590 x2

Calculated values
Formation energy (no corrections) = -1.876 eV/atom

=====

[2]
First-principles (PBE) data for a relaxed structure of RbMgRu2O8, as listed in Alexandria via LeMat-Bulk.

Lattice parameters (Å, degrees): 5.6246 5.6246 8.0224 90.00 90.00 120.00
Space group P-3 (No. 147)
Inequivalent atoms, fractional coordinates:
1 Rb 0.0000 0.0000 0.0000 x1
2 Mg 0.0000 0.0000 0.5000 x1
3 Ru 0.3333 0.6667 0.7261 x2
4 O 0.0954 0.3292 0.6579 x6
5 O 0.3333 0.6667 0.9451 x2

Calculated values
Formation energy (no corrections) = -1.230 eV/atom

=====

[3]
First-principles (PBE) data for a relaxed structure of RbMgS2O8, as listed in Alexandria via LeMat-Bulk.

Lattice parameters (Å, degrees): 5.1926 5.1926 8.1865 90.00 90.00 120.00
Space group P-3 (No. 147)
Inequivalent atoms, fractional coordinates:
1 Rb 0.0000 0.0000 0.0000 x1
2 Mg 0.0000 0.0000 0.5000 x1
3 S 0.3333 0.6667 0.7099 x2
4 O 0.1239 0.3614 0.6517 x6
5 O 0.3333 0.6667 0.8908 x2

Calculated values
Formation energy (no corrections) = -1.705 eV/atom

=====

[4]
First-principles (PBE) data for a relaxed structure of RbMgSO4, as listed in Alexandria via LeMat-Bulk.

Lattice parameters (Å, degrees): 5.237 5.625 7.346 90.00 101.91 90.00
Space group P2_1/m (No. 11)
Inequivalent atoms, fractional coordinates:
1 Rb 0.187 0.250 0.106 x2
2 Mg 0.183 0.750 0.472 x2
3 S 0.365 0.250 0.684 x2
4 O 0.169 0.023 0.669 x4
5 O 0.314 0.750 0.220 x2
6 O 0.410 0.250 0.482 x2

Calculated values
Formation energy (no corrections) = -1.560 eV/atom

=====

[5]
First-principles (PBE) data for a relaxed structure of RbMg6SbO8, as listed in Alexandria via LeMat-Bulk.

Lattice parameters (Å, degrees): 4.645 4.645 9.038 90.00 90.00 90.00
Space group P4/mmm (No. 123)
Inequivalent atoms, fractional coordinates:
1 Rb 0.000 0.000 0.000 x1
2 Mg 0.000 0.000 0.500 x1
3 Mg 0.000 0.500 0.272 x4
4 Mg 0.500 0.500 0.500 x1
5 Sb 0.500 0.500 0.000 x1
6 O 0.000 0.000 0.284 x2
7 O 0.000 0.500 0.000 x2
8 O 0.000 0.500 0.500 x2
9 O 0.500 0.500 0.266 x2

Calculated values
Formation energy (no corrections) = -1.941 eV/atom

=====

[6]
First-principles (PBE) data for a relaxed structure of RbMg6SbO8, as listed in Alexandria via LeMat-Bulk.

Lattice parameters (Å, degrees): 4.676 4.676 9.050 90.00 90.00 90.00
Space group P4/mmm (No. 123)
Inequivalent atoms, fractional coordinates:
1 Rb 0.000 0.000 0.000 x1
2 Mg 0.000 0.500 0.234 x4
3 Mg 0.500 0.500 0.000 x1
4 Mg 0.500 0.500 0.500 x1
5 Sb 0.000 0.000 0.500 x1
6 O 0.000 0.000 0.268 x2
7 O 0.000 0.500 0.000 x2
8 O 0.000 0.500 0.500 x2
9 O 0.500 0.500 0.252 x2

Calculated values
Formation energy (no corrections) = -1.857 eV/atom

=====

[7]
First-principles (PBE) data for a relaxed structure of RbMgScO3, as listed in Alexandria via LeMat-Bulk.

Lattice parameters (Å, degrees): 5.693 10.718 5.709 90.00 90.00 90.00
Space group Cmcm (No. 63)
Inequivalent atoms, fractional coordinates:
1 Rb 0.000 0.246 0.250 x4
2 Mg 0.000 0.065 0.750 x4
3 Sc 0.000 0.434 0.750 x4
4 O 0.000 0.253 0.750 x4
5 O 0.249 0.500 0.000 x8

Calculated values
Formation energy (no corrections) = -2.666 eV/atom

=====

[8]
First-principles (PBE) data for a relaxed structure of Rb2MgSe2O6, as listed in Alexandria via LeMat-Bulk.

Lattice parameters (Å, degrees): 5.8583 5.8583 23.4973 90.00 90.00 120.00
Space group R-3m (No. 166, hexagonal axes)
Inequivalent atoms, fractional coordinates:
1 Rb 0.0000 0.0000 0.2308 x6
2 Mg 0.0000 0.0000 0.5000 x3
3 Se 0.0000 0.0000 0.0848 x6
4 O 0.0225 0.5112 0.7814 x18

Calculated values
Formation energy (no corrections) = -1.467 eV/atom